ZnSbCl: relaxed, PBE-GGA.

a = 4.8513 Å, b = 4.8513 Å, c = 3.3914 Å
α = 90.00°, β = 90.00°, γ = 120.00°
Last column: nearest neighbours and their distance in Å.
Sites, in units of the cell vectors:
Cl  0.0000  0.0000  0.9999  6 Zn 3.27, 6 Sb 3.27, 2 Cl 3.39
Sb  0.3333  0.6667  0.4998  3 Zn 2.80
Zn  0.6667  0.3333  0.5003  3 Sb 2.80

## Properties
Total magnetization in μB/cell: 0.00
VASP energy in eV per atom: -2.39
Excess energy over the best structure of this formula in the dataset in meV per atom: 395.4
Formation energy without anion corrections in eV/atom: 0.03



ZnSb2Cl8: relaxed, PBE-GGA.

a = 8.6041 Å, b = 9.2026 Å, c = 11.4323 Å
α = 76.15°, β = 67.89°, γ = 62.13°
Last column: nearest neighbours and their distance in Å.
Sites, in units of the cell vectors:
Cl  0.0590  0.7784  0.0004  1 Sb 2.51, 1 Zn 2.64
Cl  0.8532  0.5412  0.2686  1 Zn 2.49, 1 Sb 2.57
Sb  0.7521  0.0037  0.9883  3 Cl 2.43-2.57
Cl  0.9410  0.2216  0.9996  1 Sb 2.51, 1 Zn 2.64
Cl  0.6748  0.7965  0.9564  1 Sb 2.43
Cl  0.3370  0.0412  0.7686  1 Zn 2.49, 1 Sb 2.57
Cl  0.1468  0.4588  0.7314  1 Zn 2.49, 1 Sb 2.57
Sb  0.2559  0.5037  0.4883  3 Cl 2.43-2.57
Cl  0.8378  0.7216  0.4996  1 Sb 2.51, 1 Zn 2.64
Cl  0.6630  0.9588  0.2314  1 Zn 2.49, 1 Sb 2.57
Cl  0.2759  0.5389  0.2386  1 Zn 2.41
Sb  0.2479  0.9963  0.0117  3 Cl 2.43-2.57
Cl  0.0534  0.9611  0.2614  1 Zn 2.41
Cl  0.5723  0.2965  0.4564  1 Sb 2.43
Cl  0.9466  0.0389  0.7386  1 Zn 2.41
Zn  0.0294  0.2500  0.7500  6 Cl 2.41-2.64
Sb  0.7441  0.4963  0.5117  3 Cl 2.43-2.57
Cl  0.7241  0.4611  0.7614  1 Zn 2.41
Cl  0.1622  0.2784  0.5004  1 Sb 2.51, 1 Zn 2.64
Cl  0.3252  0.2035  0.0436  1 Sb 2.43
Cl  0.4277  0.7035  0.5436  1 Sb 2.43
Zn  0.9706  0.7500  0.2500  6 Cl 2.41-2.64

## Properties
Total magnetization in μB/cell: 0.00
VASP energy in eV per atom: -3.10
Excess energy over the best structure of this formula in the dataset in meV per atom: 0.0
Formation energy without anion corrections in eV/atom: -0.89



ZnSbCl5: relaxed, PBE-GGA.

a = 7.0656 Å, b = 7.0657 Å, c = 10.2061 Å
α = 111.80°, β = 111.82°, γ = 87.74°
Last column: nearest neighbours and their distance in Å.
Sites, in units of the cell vectors:
Sb  0.5000  0.0000  0.5000  6 Cl 2.67-2.69
Cl  0.2688  0.3014  0.9607  1 Zn 2.28
Cl  0.1986  0.2311  0.5392  1 Zn 2.28
Cl  0.8014  0.7689  0.4608  1 Zn 2.28
Cl  0.4188  0.0809  0.2499  2 Sb 2.67
Sb  0.5000  0.0000  0.0000  6 Cl 2.67-2.69
Cl  0.8406  0.2648  0.1683  1 Zn 2.32
Cl  0.7647  0.3407  0.6681  1 Zn 2.32
Cl  0.1594  0.7352  0.8317  1 Zn 2.32
Zn  0.8804  0.6196  0.2500  4 Cl 2.28-2.32
Cl  0.7312  0.6986  0.0393  1 Zn 2.28
Cl  0.5812  0.9191  0.7501  2 Sb 2.67
Zn  0.1196  0.3804  0.7500  4 Cl 2.28-2.32
Cl  0.2353  0.6593  0.3319  1 Zn 2.32

## Properties
Total magnetization in μB/cell: 0.00
VASP energy in eV per atom: -3.02
Formation energy without anion corrections in eV/atom: -0.93



ZnSb2Cl: relaxed, PBE-GGA.

a = 5.7823 Å, b = 4.2248 Å, c = 4.2248 Å
α = 90.00°, β = 90.00°, γ = 90.00°
Last column: nearest neighbours and their distance in Å.
Sites, in units of the cell vectors:
Sb  0.0000  0.5000  0.5000  4 Sb 2.99
Cl  0.5000  0.0000  0.5000  4 Zn 2.99
Sb  0.0000  0.0000  0.0000  4 Sb 2.99
Zn  0.5000  0.5000  0.0000  4 Cl 2.99

## Properties
Total magnetization in μB/cell: 0.00
VASP energy in eV per atom: -2.65
Excess energy over the best structure of this formula in the dataset in meV per atom: 425.8
Formation energy without anion corrections in eV/atom: 0.19



ZnSbCl: relaxed, PBE-GGA.

a = 3.4266 Å, b = 3.4266 Å, c = 7.6671 Å
α = 90.00°, β = 90.00°, γ = 120.00°
Last column: nearest neighbours and their distance in Å.
Sites, in units of the cell vectors:
Cl  0.0000  0.0000  0.8889  3 Zn 2.47
Sb  0.3333  0.6667  0.4146  3 Zn 2.93
Zn  0.6667  0.3333  0.6965  3 Cl 2.47

## Properties
Total magnetization in μB/cell: 0.00
VASP energy in eV per atom: -2.78
Excess energy over the best structure of this formula in the dataset in meV per atom: 0.0
Formation energy without anion corrections in eV/atom: -0.37



ZnSb2Cl: relaxed, PBE-GGA.

a = 9.1737 Å, b = 9.1737 Å, c = 9.1737 Å
α = 22.00°, β = 22.00°, γ = 22.00°
Last column: nearest neighbours and their distance in Å.
Sites, in units of the cell vectors:
Cl  0.7500  0.7500  0.7500  6 Sb 3.15, 6 Cl 3.50
Sb  0.5067  0.5067  0.5067  3 Zn 2.88, 3 Cl 3.15
Sb  0.9933  0.9933  0.9933  3 Zn 2.88, 3 Cl 3.15
Zn  0.2500  0.2500  0.2500  6 Sb 2.88

## Properties
Total magnetization in μB/cell: 0.00
VASP energy in eV per atom: -2.76
Excess energy over the best structure of this formula in the dataset in meV per atom: 317.1
Formation energy without anion corrections in eV/atom: 0.09



ZnSbCl: relaxed, PBE-GGA.

a = 6.0562 Å, b = 6.0562 Å, c = 6.0562 Å
α = 143.64°, β = 139.47°, γ = 55.57°
Last column: nearest neighbours and their distance in Å.
Sites, in units of the cell vectors:
Zn  0.7568  0.7568  0.0000  1 Cl 2.65, 4 Sb 2.83
Cl  0.0041  0.0041  0.0000  1 Sb 2.52, 1 Zn 2.65
Sb  0.2391  0.2391  0.0000  1 Cl 2.52

## Properties
Total magnetization in μB/cell: 0.00
VASP energy in eV per atom: -2.59
Excess energy over the best structure of this formula in the dataset in meV per atom: 195.0
Formation energy without anion corrections in eV/atom: -0.17



ZnSb2Cl: relaxed, PBE-GGA.

a = 6.6811 Å, b = 6.6811 Å, c = 6.6811 Å
α = 150.11°, β = 138.47°, γ = 52.01°
Last column: nearest neighbours and their distance in Å.
Sites, in units of the cell vectors:
Sb  0.0565  0.0565  0.0000  2 Zn 2.89, 4 Sb 3.23
Cl  0.7500  0.2500  0.5000  4 Zn 2.93
Zn  0.2500  0.7500  0.5000  4 Sb 2.89, 4 Cl 2.93
Sb  0.4435  0.4435  0.0000  2 Zn 2.89, 4 Sb 3.23

## Properties
Total magnetization in μB/cell: 0.00
VASP energy in eV per atom: -2.92
Excess energy over the best structure of this formula in the dataset in meV per atom: 155.5
Formation energy without anion corrections in eV/atom: -0.08



ZnSb2Cl: relaxed, PBE-GGA.

a = 3.3227 Å, b = 3.3227 Å, c = 9.2140 Å
α = 90.00°, β = 90.00°, γ = 90.00°
Last column: nearest neighbours and their distance in Å.
Sites, in units of the cell vectors:
Sb  0.0000  0.0000  0.0407  8 Sb 3.25-3.32
Zn  0.0000  0.0000  0.5144  4 Cl 2.71
Sb  0.5000  0.5000  0.2845  4 Zn 3.16, 8 Sb 3.25-3.32, 1 Cl 3.46
Cl  0.5000  0.5000  0.6605  4 Zn 2.71

## Properties
Total magnetization in μB/cell: 0.00
VASP energy in eV per atom: -2.86
Excess energy over the best structure of this formula in the dataset in meV per atom: 210.6
Formation energy without anion corrections in eV/atom: -0.02



ZnSb2Cl: relaxed, PBE-GGA.

a = 6.5929 Å, b = 6.5929 Å, c = 4.8408 Å
α = 68.43°, β = 68.43°, γ = 30.48°
Last column: nearest neighbours and their distance in Å.
Sites, in units of the cell vectors:
Zn  0.4645  0.4645  0.5350  6 Sb 3.06-3.08
Sb  0.7498  0.7498  0.7504  4 Cl 2.98, 2 Zn 3.06, 2 Sb 3.09
Cl  0.2539  0.2539  0.2463  4 Sb 2.98
Sb  0.0318  0.0318  0.9683  4 Zn 3.08, 2 Sb 3.09

## Properties
Total magnetization in μB/cell: 0.00
VASP energy in eV per atom: -2.80
Excess energy over the best structure of this formula in the dataset in meV per atom: 271.8
Formation energy without anion corrections in eV/atom: 0.04



ZnSb2Cl: relaxed, PBE-GGA.

a = 5.1218 Å, b = 5.1218 Å, c = 5.1218 Å
α = 60.00°, β = 60.00°, γ = 60.00°
Last column: nearest neighbours and their distance in Å.
Sites, in units of the cell vectors:
Sb  0.0000  0.0000  0.0000  4 Sb 3.14, 4 Zn 3.14
Cl  0.5000  0.5000  0.5000  4 Sb 3.14, 4 Zn 3.14
Sb  0.2500  0.2500  0.2500  4 Cl 3.14, 4 Sb 3.14
Zn  0.7500  0.7500  0.7500  4 Cl 3.14, 4 Sb 3.14

## Properties
Total magnetization in μB/cell: 0.00
VASP energy in eV per atom: -2.82
Excess energy over the best structure of this formula in the dataset in meV per atom: 252.1
Formation energy without anion corrections in eV/atom: 0.02



ZnSb2Cl: relaxed, PBE-GGA.

a = 3.3002 Å, b = 5.6259 Å, c = 5.5911 Å
α = 90.00°, β = 90.00°, γ = 90.00°
Last column: nearest neighbours and their distance in Å.
Sites, in units of the cell vectors:
Cl  0.5000  0.5000  0.6249  2 Sb 2.79-2.80
Sb  0.5000  0.5000  0.1254  2 Cl 2.79-2.80
Zn  0.0000  0.0000  0.6249  2 Sb 2.80
Sb  0.0000  0.0000  0.1249  2 Zn 2.80

## Properties
Total magnetization in μB/cell: 0.00
VASP energy in eV per atom: -2.89
Excess energy over the best structure of this formula in the dataset in meV per atom: 183.5
Formation energy without anion corrections in eV/atom: -0.05



ZnSb2Cl: relaxed, PBE-GGA.

a = 5.1076 Å, b = 5.1069 Å, c = 5.0983 Å
α = 74.29°, β = 68.67°, γ = 111.40°
Last column: nearest neighbours and their distance in Å.
Sites, in units of the cell vectors:
Zn  0.5000  0.5000  0.0000  4 Sb 2.88, 2 Cl 3.08
Sb  0.0000  0.0000  0.0000  2 Cl 2.88, 2 Zn 2.88, 2 Sb 3.08
Sb  0.0000  0.5000  0.5000  2 Zn 2.88, 2 Cl 2.88, 2 Sb 3.08
Cl  0.5000  0.0000  0.5000  4 Sb 2.88, 2 Zn 3.08

## Properties
Total magnetization in μB/cell: 0.00
VASP energy in eV per atom: -2.84
Excess energy over the best structure of this formula in the dataset in meV per atom: 235.3
Formation energy without anion corrections in eV/atom: 0.00



ZnSbCl: relaxed, PBE-GGA.

a = 8.5885 Å, b = 8.1183 Å, c = 3.6457 Å
α = 84.73°, β = 70.26°, γ = 25.00°
Last column: nearest neighbours and their distance in Å.
Sites, in units of the cell vectors:
Zn  0.6545  0.6545  0.3455  2 Cl 2.34
Sb  0.2953  0.2953  0.7047  2 Zn 2.78
Cl  0.0503  0.0503  0.9497  2 Zn 2.34

## Properties
Total magnetization in μB/cell: 0.00
VASP energy in eV per atom: -2.67
Excess energy over the best structure of this formula in the dataset in meV per atom: 115.7
Formation energy without anion corrections in eV/atom: -0.25



no.,calculated volume (Å³/f.u.),Fermi-level density of states (states/eV per cell)
1,69,2.25
2,370,0.00
3,218,0.00
4,103,3.71
5,78,0.90
6,95,3.01
7,85,1.02
8,98,1.35
9,102,2.33
10,99,1.23
11,95,1.95
12,104,1.57
13,102,2.84
14,85,2.05